A plane-wave DFT calculation with PBE was carried out for a relaxed LiCoSi4 crystal.

Cell lengths 4.9261, 4.9261, 4.9261 Å; angles 60.00, 60.00, 60.00 degrees
Sites, in units of the cell vectors:
Si: 0.3751 0.3751 0.3751
Si: 0.8746 0.3751 0.3751
Si: 0.3751 0.8746 0.3751
Si: 0.3751 0.3751 0.8746
Co: 0.7500 0.7500 0.7500
Li: 0.0000 0.0000 0.0000

Properties
Total energy: -4.79 eV per atom
Calculated volume: 14.09 Å³/atom
Total moment: 0.292 μB per atom

=====

A plane-wave DFT calculation with PBE was carried out for a relaxed LiCo2Si crystal.

Cell lengths 4.4954, 4.4954, 4.0389 Å; angles 71.49, 71.49, 33.83 degrees
Sites, in units of the cell vectors:
Co: 0.2599 0.2599 0.3013
Li: 0.5054 0.5054 0.4444
Co: 0.9983 0.9983 0.9400
Si: 0.7364 0.7364 0.8143

Properties
Total energy: -5.58 eV per atom
Calculated volume: 10.72 Å³/atom
Total moment: 0.180 μB per atom

=====

A plane-wave DFT calculation with PBE was carried out for a relaxed Li2CoSi2 crystal.

Cell lengths 5.8973, 5.8973, 4.0958 Å; angles 90.00, 90.00, 90.00 degrees
Sites, in units of the cell vectors:
Si: 0.6447 0.1447 0.0000
Li: 0.6696 0.8304 0.5000
Li: 0.8304 0.3304 0.5000
Si: 0.1447 0.3553 0.0000
Si: 0.8553 0.6447 0.0000
Si: 0.3553 0.8553 0.0000
Co: 0.0000 0.0000 0.0000
Li: 0.3304 0.1696 0.5000
Li: 0.1696 0.6696 0.5000
Co: 0.5000 0.5000 0.0000

Properties
Total energy: -4.52 eV per atom
Calculated volume: 14.24 Å³/atom
Total moment: 0.000 μB per atom

=====

A plane-wave DFT calculation with PBE was carried out for a relaxed LiCo2Si crystal.

Cell lengths 4.7643, 4.7643, 4.7643 Å; angles 146.82, 131.91, 59.68 degrees
Sites, in units of the cell vectors:
Si: 0.2337 0.7337 0.5000
Li: 0.5015 0.5015 0.0000
Co: 0.0035 0.0035 0.0000
Co: 0.7614 0.2614 0.5000

Properties
Total energy: -5.58 eV per atom
Calculated volume: 10.91 Å³/atom
Total moment: 0.446 μB per atom

=====

The raw formation energy results, record by record, are as follows: 333 -196 -165 -188 meV per atom.
The D(E_F) results, record by record, are as follows: 3.8 3.6 2.9 3.7 states/eV/f.u..